[1]
## LaTc2Te (GGA-PBE)

Data for a relaxed structure of LaTc2Te.

Properties
For the energy above the most stable polymorph in this dataset, the calculation gives 462.5 meV per atom. The calculation puts the raw formation energy at 0.21 eV/atom. As for the total magnetic moment: 0.00 μB per atom. As for the total energy: -6.988 eV per atom.

The structure in CIF format:
```
data_LaTc2Te
_chemical_formula_sum 'La2 Tc4 Te2'
_cell_length_a 3.3266
_cell_length_b 4.8635
_cell_length_c 10.1208
_cell_angle_alpha 90.00
_cell_angle_beta 90.00
_cell_angle_gamma 90.00
_symmetry_space_group_name_H-M 'I m m 2'
_symmetry_Int_Tables_number 44
loop_
_symmetry_equiv_pos_as_xyz
'x,y,z'
'-x,-y,z'
'-x,y,z'
'x,-y,z'
'x+1/2,y+1/2,z+1/2'
'-x+1/2,-y+1/2,z+1/2'
'-x+1/2,y+1/2,z+1/2'
'x+1/2,-y+1/2,z+1/2'
loop_
_atom_site_label
_atom_site_type_symbol
_atom_site_fract_x
_atom_site_fract_y
_atom_site_fract_z
_atom_site_occupancy
La1 La 0.0000 0.0000 0.0000 1
Tc1 Tc 0.0000 0.0000 0.4915 1
Tc2 Tc 0.0000 0.5000 0.7759 1
Te1 Te 0.0000 0.5000 0.2235 1
```

=====

[2]
## TaTi6Rh5 (GGA-PBE)

Data for a relaxed structure of TaTi6Rh5.

Properties
The calculation puts the energy of formation from the pure elements at -0.660 eV per atom. As for the total magnetic moment: 0.00 μB per atom. As for the total energy: -8.658 eV per atom.

The structure in CIF format:
```
data_TaTi6Rh5
_chemical_formula_sum 'Ta2 Ti12 Rh10'
_cell_length_a 4.3804
_cell_length_b 6.3781
_cell_length_c 13.1114
_cell_angle_alpha 90.00
_cell_angle_beta 90.00
_cell_angle_gamma 90.00
_symmetry_space_group_name_H-M 'I m m m'
_symmetry_Int_Tables_number 71
_symmetry_space_group_name_Hall '-I 2 2'
loop_
_atom_site_label
_atom_site_type_symbol
_atom_site_fract_x
_atom_site_fract_y
_atom_site_fract_z
_atom_site_occupancy
Ta1 Ta 0.0000 0.0000 0.0000 1
Ti1 Ti 0.0000 0.2495 0.1668 1
Ti2 Ti 0.0000 0.2501 0.5000 1
Rh1 Rh 0.0000 0.0000 0.3334 1
Rh2 Rh 0.0000 0.5000 0.0000 1
Rh3 Rh 0.0000 0.5000 0.3298 1
```

=====

[3]
## Sr2Ga4CuPt3 (GGA-PBE)

Data for a relaxed structure of Sr2Ga4CuPt3.

Properties
The calculation puts the energy of formation from the pure elements at -0.747 eV per atom. As for the total magnetic moment: 0.00 μB per atom. As for the total energy: -4.516 eV per atom.

The structure in CIF format:
```
data_Sr2Ga4CuPt3
_chemical_formula_sum 'Sr2 Ga4 Cu1 Pt3'
_cell_length_a 4.4720
_cell_length_b 4.4720
_cell_length_c 10.1284
_cell_angle_alpha 90.00
_cell_angle_beta 90.00
_cell_angle_gamma 90.00
_symmetry_space_group_name_H-M 'P -4 m 2'
_symmetry_Int_Tables_number 115
loop_
_symmetry_equiv_pos_as_xyz
'x,y,z'
'y,-x,-z'
'-x,-y,z'
'-y,x,-z'
'-x,y,z'
'-y,-x,-z'
'x,-y,z'
'y,x,-z'
loop_
_atom_site_label
_atom_site_type_symbol
_atom_site_fract_x
_atom_site_fract_y
_atom_site_fract_z
_atom_site_occupancy
Sr1 Sr 0.0000 0.5000 0.2449 1
Ga1 Ga 0.0000 0.0000 0.5000 1
Ga2 Ga 0.0000 0.5000 0.8811 1
Ga3 Ga 0.5000 0.5000 0.5000 1
Cu1 Cu 0.5000 0.5000 0.0000 1
Pt1 Pt 0.0000 0.0000 0.0000 1
Pt2 Pt 0.0000 0.5000 0.6288 1
```

=====

[4]
## LaSmTmZn (GGA-PBE)

Data for a relaxed structure of LaSmTmZn.

Properties
For the energy above the most stable polymorph in this dataset, the calculation gives 156.2 meV per atom. The calculation puts the energy of formation from the pure elements at 0.007 eV per atom. As for the total magnetic moment: 0.00 μB per atom. As for the total energy: -3.842 eV per atom.

The structure in CIF format:
```
data_LaSmTmZn
_chemical_formula_sum 'La4 Sm4 Tm4 Zn4'
_cell_length_a 7.7023
_cell_length_b 7.7023
_cell_length_c 7.7023
_cell_angle_alpha 90.00
_cell_angle_beta 90.00
_cell_angle_gamma 90.00
_symmetry_space_group_name_H-M 'F -4 3 m'
_symmetry_Int_Tables_number 216
_symmetry_space_group_name_Hall 'F -4 2 3'
loop_
_atom_site_label
_atom_site_type_symbol
_atom_site_fract_x
_atom_site_fract_y
_atom_site_fract_z
_atom_site_occupancy
La1 La 0.0000 0.0000 0.0000 1
Sm1 Sm 0.0000 0.0000 0.5000 1
Tm1 Tm 0.2500 0.2500 0.2500 1
Zn1 Zn 0.2500 0.2500 0.7500 1
```

=====

[5]
## BaOsSe2 (GGA-PBE)

Data for a relaxed structure of BaOsSe2.

Properties
For the energy above the most stable polymorph in this dataset, the calculation gives 1118.3 meV per atom. The calculation puts the raw formation energy at 0.48 eV/atom. As for the total magnetic moment: 0.81 μB per atom. As for the total energy: -4.546 eV per atom.

The structure in CIF format:
```
data_BaOsSe2
_chemical_formula_sum 'Ba2 Os2 Se4'
_cell_length_a 4.2626
_cell_length_b 4.2626
_cell_length_c 11.4690
_cell_angle_alpha 90.00
_cell_angle_beta 90.00
_cell_angle_gamma 90.00
_symmetry_space_group_name_H-M 'I -4 m 2'
_symmetry_Int_Tables_number 119
_symmetry_space_group_name_Hall 'I -4 -2'
loop_
_atom_site_label
_atom_site_type_symbol
_atom_site_fract_x
_atom_site_fract_y
_atom_site_fract_z
_atom_site_occupancy
Ba1 Ba 0.0000 0.0000 0.0000 1
Os1 Os 0.0000 0.5000 0.7500 1
Se1 Se 0.0000 0.0000 0.5000 1
Se2 Se 0.0000 0.5000 0.2500 1
```

=====

[6]
## MgFe2Co2 (GGA-PBE)

Data for a relaxed structure of MgFe2Co2.

Properties
For the energy above the most stable polymorph in this dataset, the calculation gives 299.5 meV per atom. The calculation puts the energy of formation from the pure elements at 0.395 eV per atom. As for the total magnetic moment: 0.00 μB per atom. As for the total energy: -6.151 eV per atom.

The structure in CIF format:
```
data_MgFe2Co2
_chemical_formula_sum 'Mg2 Fe4 Co4'
_cell_length_a 3.5963
_cell_length_b 3.5963
_cell_length_c 9.8785
_cell_angle_alpha 90.00
_cell_angle_beta 90.00
_cell_angle_gamma 90.00
_symmetry_space_group_name_H-M 'I 4/m m m'
_symmetry_Int_Tables_number 139
_symmetry_space_group_name_Hall '-I 4 2'
loop_
_atom_site_label
_atom_site_type_symbol
_atom_site_fract_x
_atom_site_fract_y
_atom_site_fract_z
_atom_site_occupancy
Mg1 Mg 0.0000 0.0000 0.0000 1
Fe1 Fe 0.0000 0.5000 0.2500 1
Co1 Co 0.0000 0.0000 0.3923 1
```

=====

[7]
## AcSm2Mg6 (GGA-PBE)

Data for a relaxed structure of AcSm2Mg6.

Properties
The calculation puts the energy of formation from the pure elements at -0.066 eV per atom. As for the total magnetic moment: 0.00 μB per atom. As for the total energy: -2.635 eV per atom.

The structure in CIF format:
```
data_AcSm2Mg6
_chemical_formula_sum 'Ac1 Sm2 Mg6'
_cell_length_a 9.2255
_cell_length_b 9.2255
_cell_length_c 3.4717
_cell_angle_alpha 90.00
_cell_angle_beta 90.00
_cell_angle_gamma 120.00
_symmetry_space_group_name_H-M 'P 6/m m m'
_symmetry_Int_Tables_number 191
_symmetry_space_group_name_Hall '-P 6 2'
loop_
_atom_site_label
_atom_site_type_symbol
_atom_site_fract_x
_atom_site_fract_y
_atom_site_fract_z
_atom_site_occupancy
Ac1 Ac 0.0000 0.0000 0.0000 1
Sm1 Sm 0.3333 0.6667 0.0000 1
Mg1 Mg 0.0000 0.3392 0.5000 1
```

=====

[8]
## Fe2MoAu (GGA-PBE)

Data for a relaxed structure of Fe2MoAu.

Properties
For the energy above the most stable polymorph in this dataset, the calculation gives 80.7 meV per atom. The calculation puts the energy of formation from the pure elements at 0.242 eV per atom. As for the total magnetic moment: 0.75 μB per atom. As for the total energy: -7.517 eV per atom.

The structure in CIF format:
```
data_Fe2MoAu
_chemical_formula_sum 'Fe4 Mo2 Au2'
_cell_length_a 3.7766
_cell_length_b 3.7766
_cell_length_c 7.8101
_cell_angle_alpha 90.00
_cell_angle_beta 90.00
_cell_angle_gamma 90.00
_symmetry_space_group_name_H-M 'I -4 m 2'
_symmetry_Int_Tables_number 119
_symmetry_space_group_name_Hall 'I -4 -2'
loop_
_atom_site_label
_atom_site_type_symbol
_atom_site_fract_x
_atom_site_fract_y
_atom_site_fract_z
_atom_site_occupancy
Fe1 Fe 0.0000 0.0000 0.0000 1
Fe2 Fe 0.0000 0.5000 0.2500 1
Mo1 Mo 0.0000 0.5000 0.7500 1
Au1 Au 0.0000 0.0000 0.5000 1
```

=====

[9]
## CoAg2Br (GGA-PBE)

Data for a relaxed structure of CoAg2Br.

Properties
For the energy above the most stable polymorph in this dataset, the calculation gives 182.1 meV per atom. The calculation puts the raw formation energy at 0.46 eV/atom. As for the total magnetic moment: 0.50 μB per atom. As for the total energy: -3.163 eV per atom.

The structure in CIF format:
```
data_CoAg2Br
_chemical_formula_sum 'Co3 Ag6 Br3'
_cell_length_a 3.0208
_cell_length_b 3.0208
_cell_length_c 28.1356
_cell_angle_alpha 90.00
_cell_angle_beta 90.00
_cell_angle_gamma 120.00
_symmetry_space_group_name_H-M 'R -3 m'
_symmetry_Int_Tables_number 166
_symmetry_space_group_name_Hall '-R 3 2"'
loop_
_atom_site_label
_atom_site_type_symbol
_atom_site_fract_x
_atom_site_fract_y
_atom_site_fract_z
_atom_site_occupancy
Co1 Co 0.0000 0.0000 0.0000 1
Ag1 Ag 0.0000 0.0000 0.2596 1
Br1 Br 0.0000 0.0000 0.5000 1
```

=====

[10]
## PmPa2CoN4 (GGA-PBE)

Data for a relaxed structure of PmPa2CoN4.

Properties
The calculation puts the raw formation energy at -1.34 eV/atom. As for the total magnetic moment: 0.04 μB per atom. As for the total energy: -9.363 eV per atom.

The structure in CIF format:
```
data_PmPa2CoN4
_chemical_formula_sum 'Pm4 Pa8 Co4 N16'
_cell_length_a 3.4592
_cell_length_b 11.5267
_cell_length_c 11.4008
_cell_angle_alpha 90.00
_cell_angle_beta 90.00
_cell_angle_gamma 90.00
_symmetry_space_group_name_H-M 'C m c m'
_symmetry_Int_Tables_number 63
_symmetry_space_group_name_Hall '-C 2c 2'
loop_
_atom_site_label
_atom_site_type_symbol
_atom_site_fract_x
_atom_site_fract_y
_atom_site_fract_z
_atom_site_occupancy
Pm1 Pm 0.0000 0.1053 0.2500 1
Pa1 Pa 0.0000 0.3682 0.0619 1
Co1 Co 0.0000 0.1574 0.7500 1
N1 N 0.0000 0.0000 0.0000 1
N2 N 0.0000 0.2705 0.6146 1
N3 N 0.0000 0.4478 0.2500 1
```

=====

[11]
## TmMgZrIr (GGA-PBE)

Data for a relaxed structure of TmMgZrIr.

Properties
The calculation puts the energy of formation from the pure elements at -0.405 eV per atom. As for the total magnetic moment: 0.00 μB per atom. As for the total energy: -6.274 eV per atom.

The structure in CIF format:
```
data_TmMgZrIr
_chemical_formula_sum 'Tm4 Mg4 Zr4 Ir4'
_cell_length_a 6.8749
_cell_length_b 6.8749
_cell_length_c 6.8749
_cell_angle_alpha 90.00
_cell_angle_beta 90.00
_cell_angle_gamma 90.00
_symmetry_space_group_name_H-M 'F -4 3 m'
_symmetry_Int_Tables_number 216
_symmetry_space_group_name_Hall 'F -4 2 3'
loop_
_atom_site_label
_atom_site_type_symbol
_atom_site_fract_x
_atom_site_fract_y
_atom_site_fract_z
_atom_site_occupancy
Tm1 Tm 0.0000 0.0000 0.0000 1
Mg1 Mg 0.2500 0.2500 0.2500 1
Zr1 Zr 0.0000 0.0000 0.5000 1
Ir1 Ir 0.2500 0.2500 0.7500 1
```

=====

[12]
## CaMn2Au (GGA-PBE)

Data for a relaxed structure of CaMn2Au.

Properties
The calculation puts the energy of formation from the pure elements at 0.276 eV per atom. As for the total magnetic moment: 1.96 μB per atom. As for the total energy: -5.628 eV per atom.

The structure in CIF format:
```
data_CaMn2Au
_chemical_formula_sum 'Ca1 Mn2 Au1'
_cell_length_a 3.4680
_cell_length_b 4.7493
_cell_length_c 5.2902
_cell_angle_alpha 90.00
_cell_angle_beta 91.11
_cell_angle_gamma 90.00
_symmetry_space_group_name_H-M 'P 1 2/m 1'
_symmetry_Int_Tables_number 10
loop_
_symmetry_equiv_pos_as_xyz
'x,y,z'
'-x,-y,-z'
'-x,y,-z'
'x,-y,z'
loop_
_atom_site_label
_atom_site_type_symbol
_atom_site_fract_x
_atom_site_fract_y
_atom_site_fract_z
_atom_site_occupancy
Ca1 Ca 0.0000 0.0000 0.0000 1
Mn1 Mn 0.4873 0.5000 0.7503 1
Au1 Au 0.5000 0.0000 0.5000 1
```

=====

[13]
## KCuSe2 (GGA-PBE)

Data for a relaxed structure of KCuSe2.

Properties
The calculation puts the raw formation energy at -0.46 eV/atom. As for the total magnetic moment: 0.00 μB per atom. As for the total energy: -3.503 eV per atom.

The structure in CIF format:
```
data_KCuSe2
_chemical_formula_sum 'K2 Cu2 Se4'
_cell_length_a 3.6765
_cell_length_b 6.4410
_cell_length_c 9.1179
_cell_angle_alpha 90.00
_cell_angle_beta 90.00
_cell_angle_gamma 90.00
_symmetry_space_group_name_H-M 'I m m m'
_symmetry_Int_Tables_number 71
_symmetry_space_group_name_Hall '-I 2 2'
loop_
_atom_site_label
_atom_site_type_symbol
_atom_site_fract_x
_atom_site_fract_y
_atom_site_fract_z
_atom_site_occupancy
K1 K 0.0000 0.0000 0.0000 1
Cu1 Cu 0.0000 0.0000 0.5000 1
Se1 Se 0.0000 0.5000 0.1633 1
```